[1]
Material: TlRe2Cl
Method: DFT, PBE
State: relaxed Values from VASP.

## Properties
DOS at the Fermi energy   3.127 states/eV/cell
E_form (uncorrected)   4.2 eV per formula unit
M_tot   0.00 μB/cell

Quantum ESPRESSO input file:
```
&SYSTEM
  ibrav = 0, nat = 4, ntyp = 3
/
ATOMIC_SPECIES
Tl 204.38 Tl.upf
Re 186.21 Re.upf
Cl 35.45 Cl.upf
CELL_PARAMETERS angstrom
3.6492 0.0000 0.0000
0.0000 5.1423 0.0000
-0.3066 0.0000 4.8351
ATOMIC_POSITIONS crystal
Tl 0.0000 0.0000 0.0000
Re 0.2787 0.5000 0.1574
Re 0.7213 0.5000 0.8426
Cl 0.5000 0.0000 0.5000
```

[2]
Material: LaVCd
Method: DFT, PBE
State: relaxed Values from VASP.

## Properties
Formation enthalpy at 0 K   0.16 eV/atom
DOS at the Fermi energy   6.642 states/eV/cell
M_tot   0.00 μB/cell

Quantum ESPRESSO input file:
```
&SYSTEM
  ibrav = 0, nat = 6, ntyp = 3
/
ATOMIC_SPECIES
La 138.91 La.upf
V 50.94 V.upf
Cd 112.41 Cd.upf
CELL_PARAMETERS angstrom
4.3271 0.0000 0.0000
0.5374 5.9401 0.0000
2.0967 0.2801 5.8401
ATOMIC_POSITIONS crystal
La 0.0000 0.0000 0.0000
La 0.3574 0.4912 0.1709
V 0.2926 0.9312 0.4262
V 0.6322 0.7700 0.5208
Cd 0.0534 0.5255 0.7387
Cd 0.6835 0.2380 0.5642
```

[3]
Material: SbTeAu2
Method: DFT, PBE
State: relaxed Values from VASP.

## Properties
DOS at the Fermi energy   1.284 states/eV/cell
E_form (uncorrected)   0.2 eV per formula unit
M_tot   0.00 μB/cell

Quantum ESPRESSO input file:
```
&SYSTEM
  ibrav = 0, nat = 4, ntyp = 3
/
ATOMIC_SPECIES
Sb 121.76 Sb.upf
Te 127.60 Te.upf
Au 196.97 Au.upf
CELL_PARAMETERS angstrom
3.1429 0.0000 0.0000
0.0000 3.9197 0.0000
0.0000 0.0000 7.6975
ATOMIC_POSITIONS crystal
Sb 0.0000 0.0000 0.0000
Te 0.5000 0.0000 0.5000
Au 0.5000 0.5000 0.2238
Au 0.5000 0.5000 0.7762
```

[4]
Material: VCl5
Method: DFT, PBE
State: relaxed Values from VASP.

## Properties
DOS at the Fermi energy   0.000 states/eV/cell
E_form (uncorrected)   -5.8 eV per formula unit
M_tot   0.00 μB/cell

Quantum ESPRESSO input file:
```
&SYSTEM
  ibrav = 0, nat = 12, ntyp = 2
/
ATOMIC_SPECIES
V 50.94 V.upf
Cl 35.45 Cl.upf
CELL_PARAMETERS angstrom
6.6330 0.0000 0.0000
-3.1523 6.4110 0.0000
-0.0685 -3.6000 8.6514
ATOMIC_POSITIONS crystal
V 0.1004 0.2125 0.2145
V 0.8996 0.7875 0.7855
Cl 0.0713 0.8287 0.5936
Cl 0.1049 0.6485 0.8548
Cl 0.2152 0.1658 0.9589
Cl 0.2791 0.0223 0.2382
Cl 0.4042 0.5370 0.3149
Cl 0.5958 0.4630 0.6851
Cl 0.7209 0.9777 0.7618
Cl 0.7848 0.8342 0.0411
Cl 0.8951 0.3515 0.1452
Cl 0.9287 0.1713 0.4064
```

[5]
Material: Mn3Zn2Au8
Method: DFT, PBE
State: relaxed Values from VASP.

## Properties
Formation enthalpy at 0 K   0.13 eV/atom
DOS at the Fermi energy   5.957 states/eV/cell
M_tot   3.98 μB/cell

Quantum ESPRESSO input file:
```
&SYSTEM
  ibrav = 0, nat = 13, ntyp = 3
/
ATOMIC_SPECIES
Mn 54.94 Mn.upf
Zn 65.41 Zn.upf
Au 196.97 Au.upf
CELL_PARAMETERS angstrom
2.7125 1.5660 9.6806
-2.7125 1.5660 9.6806
0.0000 -3.1321 9.6806
ATOMIC_POSITIONS crystal
Mn 0.0000 0.0000 0.0000
Mn 0.1896 0.1896 0.1896
Mn 0.8104 0.8104 0.8104
Zn 0.3678 0.3678 0.3678
Zn 0.6322 0.6322 0.6322
Au 0.2232 0.7245 0.7245
Au 0.2755 0.2755 0.7768
Au 0.2755 0.7768 0.2755
Au 0.2833 0.2833 0.2833
Au 0.7167 0.7167 0.7167
Au 0.7245 0.2232 0.7245
Au 0.7245 0.7245 0.2232
Au 0.7768 0.2755 0.2755
```

[6]
Material: CsNa9Tl4
Method: DFT, PBE
State: relaxed Values from VASP.

## Properties
Formation enthalpy at 0 K   -0.07 eV/atom
DOS at the Fermi energy   18.695 states/eV/cell
M_tot   0.00 μB/cell

Quantum ESPRESSO input file:
```
&SYSTEM
  ibrav = 0, nat = 28, ntyp = 3
/
ATOMIC_SPECIES
Cs 132.91 Cs.upf
Na 22.99 Na.upf
Tl 204.38 Tl.upf
CELL_PARAMETERS angstrom
-5.6409 5.6409 7.8443
5.6409 -5.6409 7.8443
5.6409 5.6409 -7.8443
ATOMIC_POSITIONS crystal
Cs 0.2500 0.2500 0.0000
Cs 0.7500 0.7500 0.0000
Na 0.0000 0.5000 0.5000
Na 0.0587 0.5587 0.2352
Na 0.0660 0.7944 0.8604
Na 0.1765 0.9413 0.5000
Na 0.2056 0.0660 0.2716
Na 0.2944 0.5660 0.8604
Na 0.3235 0.8235 0.7648
Na 0.4340 0.2944 0.7284
Na 0.4413 0.6765 0.5000
Na 0.5000 0.0000 0.5000
Na 0.5587 0.3235 0.5000
Na 0.5660 0.7056 0.2716
Na 0.6765 0.1765 0.2352
Na 0.7056 0.4340 0.1396
Na 0.7944 0.9340 0.7284
Na 0.8235 0.0587 0.5000
Na 0.9340 0.2056 0.1396
Na 0.9413 0.4413 0.7648
Tl 0.0706 0.2216 0.5000
Tl 0.2216 0.7216 0.1510
Tl 0.2784 0.4294 0.5000
Tl 0.4294 0.9294 0.1510
Tl 0.5706 0.0706 0.8490
Tl 0.7216 0.5706 0.5000
Tl 0.7784 0.2784 0.8490
Tl 0.9294 0.7784 0.5000
```